No. 1
The following is a SCAN calculation of a PBEsol-optimized structure of BaAgMo2, from the Alexandria database.

```
4
Lattice="-2.479 -0.682 3.113 -2.344 -2.282 -2.367 2.734 -4.129 1.273" Properties=species:S:1:pos:R:3 pbc="T T T"
Mo -1.172 -1.141 -1.183
Ba 1.367 -2.065 0.636
Ag -1.044 -3.547 1.010
Mo -1.239 -0.341 1.557
```

Values from the calculation:
ΔE_f ... 1.418 eV per atom

=====

No. 2
The following is a SCAN calculation of a PBEsol-optimized structure of RbSr3Si, from the Alexandria database.

```
5
Lattice="5.909 0.000 0.000 0.000 5.909 0.000 0.000 0.000 5.909" Properties=species:S:1:pos:R:3 pbc="T T T"
Sr 0.000 0.000 2.954
Sr 2.954 0.000 0.000
Rb 0.000 0.000 0.000
Sr 0.000 2.954 0.000
Si 2.954 2.954 2.954
```

Values from the calculation:
Uncorrected formation energy ... 1.2674 eV per atom

=====

No. 3
The following is a SCAN calculation of a PBEsol-optimized structure of ZrTiSi3, from the Alexandria database.

```
5
Lattice="4.870 0.000 0.000 0.000 4.870 0.000 0.000 0.000 4.870" Properties=species:S:1:pos:R:3 pbc="T T T"
Si 0.000 2.435 0.000
Si 0.000 0.000 2.435
Zr 0.000 0.000 0.000
Si 2.435 0.000 0.000
Ti 2.435 2.435 2.435
```

Values from the calculation:
Uncorrected formation energy ... 0.9479 eV per atom

=====

We obtain V values of 20.84 41.26 23.11 Å³/atom for the records listed above, in that order.
We obtain theoretical density values of 8.7 3.0 3.2 g cm⁻³ for the records listed above, in that order.